A plane-wave DFT calculation with PBE was carried out for crystalline CoIrOs2 at its relaxed geometry.

ΔE to the lowest computed polymorph: 0.418 eV/atom
total energy: -9.098 eV/atom
energy of formation from the pure elements: 509 meV/atom

a = 2.679 Å, b = 2.679 Å, c = 9.027 Å
α = 90.00°, β = 90.00°, γ = 118.91°
Element x y z (fractional)
Os  0.000  0.000  0.002
Os  0.500  0.500  0.259
Co  0.000  0.000  0.499
Ir  0.500  0.500  0.740